A plane-wave DFT calculation with PBE was carried out for crystalline SrLiDyMg at its relaxed geometry. Values from VASP.

```
&SYSTEM
  ibrav = 0, nat = 4, ntyp = 4
/
ATOMIC_SPECIES
Sr 87.62 Sr.upf
Li 6.94 Li.upf
Dy 162.50 Dy.upf
Mg 24.30 Mg.upf
CELL_PARAMETERS angstrom
0.000 3.963 3.963
3.963 0.000 3.963
3.963 3.963 0.000
ATOMIC_POSITIONS angstrom
Sr 0.000 0.000 0.000
Li 5.944 5.944 5.944
Dy 3.963 3.963 3.963
Mg 1.981 1.981 1.981
```

Results
- D(E_F): 3.94 states/eV per cell
- Formation energy from the elements: 0.092 eV per atom
- Magnetization: 0.00 μB per cell